! PmTe2MoO8 | Alexandria | PBE+U | relaxed; values from VASP
&SYSTEM
  ibrav = 0, nat = 12, ntyp = 4
/
ATOMIC_SPECIES
O 16.00 O.upf
Te 127.60 Te.upf
Mo 95.94 Mo.upf
Pm 145.00 Pm.upf
ATOMIC_POSITIONS crystal
O 0.717 0.858 0.794
O 0.141 0.283 0.794
O 0.142 0.859 0.794
O 0.667 0.333 0.877
O 0.858 0.141 0.206
O 0.333 0.667 0.123
O 0.859 0.717 0.206
O 0.283 0.142 0.206
Te 0.667 0.333 0.175
Te 0.333 0.667 0.825
Mo 0.000 0.000 0.000
Pm 0.000 0.000 0.500
CELL_PARAMETERS angstrom
6.438 0.000 0.000
-3.219 5.575 0.000
0.000 0.000 6.067
! **Crystal system**: trigonal
! **Space-group type**: P-3m1
! **Calculated total energy**: -6.2893 eV/atom